# InSi2Bi2 PBE optimized geometry
# - Formation energy (no corrections): 0.252 eV per atom
# - Size of the total moment: 0.000 μB per cell
# - DFT total energy: -20.087 eV per formula unit
# - Mass density: 7.68 g/cm³
data_InSi2Bi2
_symmetry_space_group_name_H-M 'I 4/m m m'
_symmetry_Int_Tables_number 139
_symmetry_space_group_name_Hall '-I 4 2'
_cell_length_a 3.4523
_cell_length_b 3.4523
_cell_length_c 21.3598
_cell_angle_alpha 90.00
_cell_angle_beta 90.00
_cell_angle_gamma 90.00
loop_
_atom_site_label
_atom_site_type_symbol
_atom_site_fract_x
_atom_site_fract_y
_atom_site_fract_z
In1 In 0.0000 0.0000 0.0000
Si1 Si 0.0000 0.5000 0.2500
Bi1 Bi 0.0000 0.0000 0.3795